1.
## Lu3Se (GGA-PBE)

Data for Lu3Se after structural relaxation.

Properties
Distance to the lowest polymorph of the same formula ... 98.1 meV per atom
DOS at the Fermi energy ... 5.24 states/eV/f.u.

```
Lu3Se
1.0
3.499 0.000 0.000
0.000 3.573 0.000
0.000 0.000 9.097
Lu Se
3 1
Cartesian
0.000 0.000 0.000
0.000 1.787 3.699
1.749 1.787 6.738
1.749 0.000 2.308
```



2.
## P3Rh5 (GGA-PBE)

Data for P3Rh5 after structural relaxation.

Properties
Distance to the lowest polymorph of the same formula ... 0.0 meV per atom
DOS at the Fermi energy ... 2.65 states/eV/f.u.
ΔH_f (0 K) ... -0.5330 eV/atom

```
P3Rh5
1.0
2.798 -6.309 0.000
2.798 6.309 0.000
-2.782 0.000 6.305
P Rh
6 10
Cartesian
0.000 0.000 0.000
-0.705 3.156 5.163
0.014 0.000 4.005
2.806 2.003 2.009
-0.705 -3.156 5.163
2.806 -2.003 2.009
0.739 2.250 0.596
0.758 4.893 4.252
0.760 2.243 3.421
0.739 -2.250 0.596
1.398 0.000 1.996
0.753 1.412 6.067
0.760 -2.243 3.421
0.753 -1.412 6.067
0.758 -4.893 4.252
4.200 0.000 2.006
```